(1)
Density functional theory data (PBE) for a relaxed BaIrW2 crystal. Values from VASP.

Computed properties:
The uncorrected energy comes out at -30.93 eV per formula unit. As for the space-group type: Cmmm.

```
&SYSTEM
  ibrav = 0, nat = 4, ntyp = 3
/
ATOMIC_SPECIES
Ba 137.33 Ba.upf
Ir 192.22 Ir.upf
W 183.84 W.upf
ATOMIC_POSITIONS crystal
Ba 0.0000 0.0000 0.0000
Ir 0.5000 0.5000 0.0000
W 0.0000 0.5000 0.5000
W 0.5000 0.0000 0.5000
CELL_PARAMETERS angstrom
2.7921 -5.0243 0.0000
2.7921 5.0243 0.0000
0.0000 0.0000 2.8449
```

=====

(2)
Density functional theory data (PBE) for a relaxed BaIrW2 crystal. Values from VASP.

Computed properties:
The uncorrected energy comes out at -30.60 eV per formula unit. As for the space-group type: I4/mmm.

```
&SYSTEM
  ibrav = 0, nat = 4, ntyp = 3
/
ATOMIC_SPECIES
Ba 137.33 Ba.upf
Ir 192.22 Ir.upf
W 183.84 W.upf
ATOMIC_POSITIONS crystal
Ba 0.0000 0.0000 0.0000
Ir 0.5000 0.5000 0.0000
W 0.2500 0.7500 0.5000
W 0.7500 0.2500 0.5000
CELL_PARAMETERS angstrom
-2.0236 2.0236 5.0069
2.0236 -2.0236 5.0069
2.0236 2.0236 -5.0069
```

=====

(3)
Density functional theory data (PBE) for a relaxed BaIrW2 crystal. Values from VASP.

Computed properties:
The uncorrected energy comes out at -32.87 eV per formula unit. As for the space-group type: P2/m.

```
&SYSTEM
  ibrav = 0, nat = 4, ntyp = 3
/
ATOMIC_SPECIES
Ba 137.33 Ba.upf
Ir 192.22 Ir.upf
W 183.84 W.upf
ATOMIC_POSITIONS crystal
Ba 0.0000 0.0000 0.0000
Ir 0.5000 0.0000 0.5000
W 0.3063 0.5000 0.6433
W 0.6937 0.5000 0.3567
CELL_PARAMETERS angstrom
3.1660 0.0000 0.0000
0.0000 4.6735 0.0000
-1.3578 0.0000 6.5110
```

=====

(4)
Density functional theory data (PBE) for a relaxed BaIr4W crystal. Values from VASP.

Computed properties:
The uncorrected energy comes out at -46.86 eV per formula unit. As for the space-group type: F-43m.

```
&SYSTEM
  ibrav = 0, nat = 6, ntyp = 3
/
ATOMIC_SPECIES
Ba 137.33 Ba.upf
Ir 192.22 Ir.upf
W 183.84 W.upf
ATOMIC_POSITIONS crystal
Ba 0.0000 0.0000 0.0000
Ir 0.1252 0.6249 0.6249
Ir 0.6249 0.1252 0.6249
Ir 0.6249 0.6249 0.1252
Ir 0.6249 0.6249 0.6249
W 0.2500 0.2500 0.2500
CELL_PARAMETERS angstrom
0.0000 3.7918 3.7918
3.7918 0.0000 3.7918
3.7918 3.7918 0.0000
```

=====

(5)
Density functional theory data (PBE) for a relaxed BaIrW2 crystal. Values from VASP.

Computed properties:
The uncorrected energy comes out at -32.26 eV per formula unit. As for the space-group type: I4_1/amd.

```
&SYSTEM
  ibrav = 0, nat = 8, ntyp = 3
/
ATOMIC_SPECIES
Ba 137.33 Ba.upf
Ir 192.22 Ir.upf
W 183.84 W.upf
ATOMIC_POSITIONS crystal
Ba 0.3750 0.6250 0.7500
Ba 0.6250 0.3750 0.2500
Ir 0.1250 0.8750 0.2500
Ir 0.8750 0.1250 0.7500
W 0.0000 0.0000 0.0000
W 0.0000 0.0000 0.5000
W 0.0000 0.5000 0.0000
W 0.5000 0.0000 0.5000
CELL_PARAMETERS angstrom
-2.5453 2.5453 8.7760
2.5453 -2.5453 8.7760
2.5453 2.5453 -8.7760
```

=====

(6)
Density functional theory data (PBE) for a relaxed BaIrW2 crystal. Values from VASP.

Computed properties:
The uncorrected energy comes out at -33.75 eV per formula unit. As for the space-group type: C2/m.

```
&SYSTEM
  ibrav = 0, nat = 4, ntyp = 3
/
ATOMIC_SPECIES
Ba 137.33 Ba.upf
Ir 192.22 Ir.upf
W 183.84 W.upf
ATOMIC_POSITIONS crystal
Ba 0.0000 0.0000 0.0000
Ir 0.5000 0.5000 0.5000
W 0.2128 0.2128 0.6311
W 0.7872 0.7872 0.3689
CELL_PARAMETERS angstrom
5.0249 -1.5932 0.0000
5.0249 1.5932 0.0000
-1.2154 0.0000 5.8783
```

=====

(7)
Density functional theory data (PBE) for a relaxed BaIrW2 crystal. Values from VASP.

Computed properties:
The uncorrected energy comes out at -31.69 eV per formula unit. As for the space-group type: F-43m.

```
&SYSTEM
  ibrav = 0, nat = 4, ntyp = 3
/
ATOMIC_SPECIES
Ba 137.33 Ba.upf
Ir 192.22 Ir.upf
W 183.84 W.upf
ATOMIC_POSITIONS crystal
Ba 0.0000 0.0000 0.0000
Ir 0.2500 0.2500 0.2500
W 0.5000 0.5000 0.5000
W 0.7500 0.7500 0.7500
CELL_PARAMETERS angstrom
0.0000 3.3917 3.3917
3.3917 0.0000 3.3917
3.3917 3.3917 0.0000
```

=====

(8)
Density functional theory data (PBE) for a relaxed BaY3Ir crystal. Values from VASP.

Computed properties:
The uncorrected energy comes out at -31.61 eV per formula unit. As for the space-group type: P2_1/m.

```
&SYSTEM
  ibrav = 0, nat = 10, ntyp = 3
/
ATOMIC_SPECIES
Ba 137.33 Ba.upf
Y 88.91 Y.upf
Ir 192.22 Ir.upf
ATOMIC_POSITIONS crystal
Ba 0.1035 0.2500 0.0049
Ba 0.8965 0.7500 0.9951
Y 0.2362 0.7500 0.4704
Y 0.3568 0.5070 0.7378
Y 0.3568 0.9930 0.7378
Y 0.6432 0.0070 0.2622
Y 0.6432 0.4930 0.2622
Y 0.7638 0.2500 0.5296
Ir 0.1905 0.2500 0.3627
Ir 0.8095 0.7500 0.6373
CELL_PARAMETERS angstrom
3.7883 0.0000 0.0000
0.0000 7.0918 0.0000
-1.6877 0.0000 12.2732
```

=====

(9)
Density functional theory data (PBE) for a relaxed BaY2Ir crystal. Values from VASP.

Computed properties:
The uncorrected energy comes out at -23.75 eV per formula unit. As for the space-group type: R3m.

```
&SYSTEM
  ibrav = 0, nat = 4, ntyp = 3
/
ATOMIC_SPECIES
Ba 137.33 Ba.upf
Y 88.91 Y.upf
Ir 192.22 Ir.upf
ATOMIC_POSITIONS crystal
Ba 0.0000 0.0000 0.0000
Y 0.2153 0.2153 0.2153
Y 0.4487 0.4487 0.4487
Ir 0.7339 0.7339 0.7339
CELL_PARAMETERS angstrom
2.0039 1.1569 10.0637
-2.0039 1.1569 10.0637
0.0000 -2.3138 10.0637
```

=====

(10)
Density functional theory data (PBE) for a relaxed BaY3Ir crystal. Values from VASP.

Computed properties:
The uncorrected energy comes out at -26.56 eV per formula unit. As for the space-group type: I-4m2.

```
&SYSTEM
  ibrav = 0, nat = 10, ntyp = 3
/
ATOMIC_SPECIES
Ba 137.33 Ba.upf
Y 88.91 Y.upf
Ir 192.22 Ir.upf
ATOMIC_POSITIONS crystal
Ba 0.0000 0.0000 0.0000
Ba 0.7500 0.2500 0.5000
Y 0.2958 0.2958 0.0000
Y 0.3770 0.1425 0.2345
Y 0.7042 0.7042 0.0000
Y 0.8575 0.0921 0.2345
Y 0.8575 0.6230 0.7655
Y 0.9079 0.1425 0.7655
Ir 0.1984 0.6984 0.5000
Ir 0.3016 0.8016 0.5000
CELL_PARAMETERS angstrom
-2.8355 2.8355 12.5236
2.8355 -2.8355 12.5236
2.8355 2.8355 -12.5236
```

=====

(11)
Density functional theory data (PBE) for a relaxed Ba2YIr crystal. Values from VASP.

Computed properties:
The uncorrected energy comes out at -20.14 eV per formula unit. As for the space-group type: Pm.

```
&SYSTEM
  ibrav = 0, nat = 4, ntyp = 3
/
ATOMIC_SPECIES
Ba 137.33 Ba.upf
Y 88.91 Y.upf
Ir 192.22 Ir.upf
ATOMIC_POSITIONS crystal
Ba 0.0000 0.0000 0.0000
Ba 0.2995 0.5000 0.6036
Y 0.6409 0.5000 0.2845
Ir 0.1620 0.0000 0.3273
CELL_PARAMETERS angstrom
4.2270 0.0000 0.0000
0.0000 3.9029 0.0000
-2.1014 0.0000 9.5351
```

=====

(12)
Density functional theory data (PBE) for a relaxed Ba2YIr crystal. Values from VASP.

Computed properties:
The uncorrected energy comes out at -17.88 eV per formula unit. As for the space-group type: P4/mmm.

```
&SYSTEM
  ibrav = 0, nat = 4, ntyp = 3
/
ATOMIC_SPECIES
Ba 137.33 Ba.upf
Y 88.91 Y.upf
Ir 192.22 Ir.upf
ATOMIC_POSITIONS crystal
Ba 0.0000 0.5000 0.0000
Ba 0.5000 0.0000 0.0000
Y 0.0000 0.0000 0.5000
Ir 0.5000 0.5000 0.5000
CELL_PARAMETERS angstrom
4.6115 0.0000 0.0000
0.0000 4.6115 0.0000
0.0000 0.0000 5.7058
```

=====

(13)
Density functional theory data (PBE) for a relaxed BaY3Ir crystal. Values from VASP.

Computed properties:
The uncorrected energy comes out at -31.35 eV per formula unit. As for the space-group type: R-3m.

```
&SYSTEM
  ibrav = 0, nat = 10, ntyp = 3
/
ATOMIC_SPECIES
Ba 137.33 Ba.upf
Y 88.91 Y.upf
Ir 192.22 Ir.upf
ATOMIC_POSITIONS crystal
Ba 0.0911 0.0911 0.0911
Ba 0.9089 0.9089 0.9089
Y 0.0896 0.5835 0.5835
Y 0.4165 0.4165 0.9104
Y 0.4165 0.9104 0.4165
Y 0.5835 0.0896 0.5835
Y 0.5835 0.5835 0.0896
Y 0.9104 0.4165 0.4165
Ir 0.3320 0.3320 0.3320
Ir 0.6680 0.6680 0.6680
CELL_PARAMETERS angstrom
3.8477 2.2215 6.6948
-3.8477 2.2215 6.6948
0.0000 -4.4429 6.6948
```

=====

(14)
Density functional theory data (PBE) for a relaxed BaY2Ir crystal. Values from VASP.

Computed properties:
The uncorrected energy comes out at -24.82 eV per formula unit. As for the space-group type: Amm2.

```
&SYSTEM
  ibrav = 0, nat = 4, ntyp = 3
/
ATOMIC_SPECIES
Ba 137.33 Ba.upf
Y 88.91 Y.upf
Ir 192.22 Ir.upf
ATOMIC_POSITIONS crystal
Ba 0.0000 0.0000 0.0000
Y 0.0000 0.3114 0.3114
Y 0.5000 0.6789 0.6789
Ir 0.5000 0.8349 0.8349
CELL_PARAMETERS angstrom
3.8551 0.0000 0.0000
0.0000 2.0914 8.5220
0.0000 -2.0914 8.5220
```

=====

(15)
Density functional theory data (PBE) for a relaxed BaY3Ir crystal. Values from VASP.

Computed properties:
The uncorrected energy comes out at -29.85 eV per formula unit. As for the space-group type: Amm2.

```
&SYSTEM
  ibrav = 0, nat = 5, ntyp = 3
/
ATOMIC_SPECIES
Ba 137.33 Ba.upf
Y 88.91 Y.upf
Ir 192.22 Ir.upf
ATOMIC_POSITIONS crystal
Ba 0.0000 0.0000 0.0000
Y 0.0000 0.4172 0.4172
Y 0.5000 0.4748 0.9715
Y 0.5000 0.9715 0.4748
Ir 0.5000 0.5704 0.5704
CELL_PARAMETERS angstrom
3.6592 0.0000 0.0000
0.0000 3.4429 6.7409
0.0000 -3.4429 6.7409
```

=====

Energy of formation values (in eV per atom) by entry order: 1.44; 1.52; 0.96; 0.58; 1.11; 0.73; 1.25; -0.29; -0.01; 0.72; -0.24; 0.32; -0.23; -0.28; 0.06.
Spin magnetization values (in μB per atom) by entry order: 0.0000; 0.0000; 0.0000; 0.0002; 0.0000; 0.0000; 0.0000; 0.0000; 0.0371; 0.1607; 0.0000; 0.0000; 0.0000; 0.0000; 0.0000.